1.
# Sr2YTl

Sr2YTl after structural relaxation (PBEsol, Alexandria via LeMat-Bulk).

Results
E above lowest polymorph	0.000	eV per atom
total magnetization	0.00	μB/cell
space-group type	No. 99
DFT formation energy	-0.161	eV per atom

a b c (Å): 3.870 3.870 9.979
angles (deg): 90.00 90.00 90.00
Sites, in units of the cell vectors:
Tl: 0.000 0.000 0.528
Sr: 0.000 0.000 0.972
Sr: 0.500 0.500 0.310
Y: 0.500 0.500 0.690

***

2.
# Sb2IrAu

Sb2IrAu after structural relaxation (PBEsol, Alexandria via LeMat-Bulk).

Results
formation energy (no corrections)	10.7	kJ/mol of atoms
E above lowest polymorph	0.000	eV per atom
total magnetization	0.00	μB/cell
space-group type	No. 47

a b c (Å): 3.035 3.345 8.060
angles (deg): 90.00 90.00 90.00
Sites, in units of the cell vectors:
Au: 0.500 0.500 0.500
Ir: 0.000 0.500 0.000
Sb: 0.500 0.000 0.789
Sb: 0.500 0.000 0.211

***

3.
# Mg2AsOs

Mg2AsOs after structural relaxation (PBEsol, Alexandria via LeMat-Bulk).

Results
total magnetization	0.00	μB/cell
space-group type	No. 38
DFT formation energy	-0.031	eV per atom

a b c (Å): 3.276 4.083 5.383
angles (deg): 90.00 107.72 90.00
Sites, in units of the cell vectors:
As: 0.687 0.500 0.373
Mg: 0.084 0.000 0.169
Mg: 0.413 0.500 0.827
Os: 0.812 0.000 0.623

***

4.
# Li5Au3

Li5Au3 after structural relaxation (PBEsol, Alexandria via LeMat-Bulk).

Results
E above lowest polymorph	0.000	eV per atom
total magnetization	0.00	μB/cell
space-group type	No. 65
DFT formation energy	-0.447	eV per atom

a b c (Å): 4.154 5.352 5.352
angles (deg): 101.19 90.00 90.00
Sites, in units of the cell vectors:
Au: 0.500 0.757 0.243
Li: 0.500 0.260 0.260
Li: 0.500 0.740 0.740
Li: 0.000 0.000 0.000
Au: 0.500 0.243 0.757
Li: 0.000 0.500 0.000
Li: 0.000 0.000 0.500
Au: 0.000 0.500 0.500

***

no.,calculated total energy (eV per atom)
1,-3.44
2,-5.60
3,-5.22
4,-3.15